# SrSmDy

A relaxed SrSmDy crystal (PBE, the Alexandria database).

Lattice parameters (Å, degrees): 8.5213 8.5213 8.5213 154.58 154.58 36.26
Sites, in units of the cell vectors:
Sr 0.0000 0.0000 0.0000
Sm 0.6812 0.6812 0.0000
Dy 0.3212 0.3212 0.0000

Values from the calculation:
Energy relative to the lowest polymorph listed for this composition = 0 meV/atom

# SrSmDy

A relaxed SrSmDy crystal (PBE, the Alexandria database).

Lattice parameters (Å, degrees): 3.7467 3.7467 9.3336 90.00 90.00 120.00
Sites, in units of the cell vectors:
Sr 0.0000 0.0000 0.0000
Sm 0.3333 0.6667 0.6423
Dy 0.6667 0.3333 0.3494

Values from the calculation:
Energy relative to the lowest polymorph listed for this composition = 21 meV/atom

# SrSm2Dy

A relaxed SrSm2Dy crystal (PBE, the Alexandria database).

Lattice parameters (Å, degrees): 5.2555 5.2555 5.2498 90.00 90.00 90.00
Sites, in units of the cell vectors:
Sr 0.0000 0.0000 0.0000
Sm 0.0000 0.5000 0.5000
Sm 0.5000 0.0000 0.5000
Dy 0.5000 0.5000 0.0000

Values from the calculation:
Energy relative to the lowest polymorph listed for this composition = 83 meV/atom

# SrSm2Dy

A relaxed SrSm2Dy crystal (PBE, the Alexandria database).

Lattice parameters (Å, degrees): 3.7112 3.7112 10.6925 90.00 90.00 90.00
Sites, in units of the cell vectors:
Sr 0.0000 0.0000 0.0000
Sm 0.5000 0.5000 0.2777
Sm 0.5000 0.5000 0.7223
Dy 0.0000 0.0000 0.5000

Values from the calculation:
Energy relative to the lowest polymorph listed for this composition = 0 meV/atom

# SrSm2Dy

A relaxed SrSm2Dy crystal (PBE, the Alexandria database).

Lattice parameters (Å, degrees): 12.4852 12.4852 12.4852 17.08 17.08 17.08
Sites, in units of the cell vectors:
Sr 0.0000 0.0000 0.0000
Sm 0.2437 0.2437 0.2437
Sm 0.4237 0.4237 0.4237
Dy 0.8340 0.8340 0.8340

Values from the calculation:
Energy relative to the lowest polymorph listed for this composition = 6 meV/atom

# SrSmDy2

A relaxed SrSmDy2 crystal (PBE, the Alexandria database).

Lattice parameters (Å, degrees): 12.9829 12.9829 12.9829 16.05 16.05 16.05
Sites, in units of the cell vectors:
Sr 0.0000 0.0000 0.0000
Sm 0.5000 0.5000 0.5000
Dy 0.0925 0.0925 0.0925
Dy 0.9075 0.9075 0.9075

Values from the calculation:
Energy relative to the lowest polymorph listed for this composition = 99 meV/atom

# Sr3SmDy2Te6

A relaxed Sr3SmDy2Te6 crystal (PBE, the Alexandria database).

Lattice parameters (Å, degrees): 7.7963 7.7963 7.9936 99.38 99.38 119.93
Sites, in units of the cell vectors:
Sr 0.0000 0.0000 0.0000
Sr 0.3355 0.6645 0.0000
Sr 0.6645 0.3355 0.0000
Sm 0.5000 0.5000 0.5000
Dy 0.1675 0.8325 0.5000
Dy 0.8325 0.1675 0.5000
Te 0.0838 0.4220 0.2664
Te 0.2386 0.2386 0.7316
Te 0.4220 0.0838 0.2664
Te 0.5780 0.9162 0.7336
Te 0.7614 0.7614 0.2684
Te 0.9162 0.5780 0.7336

Values from the calculation:
E_form (uncorrected) = -145.19 kJ per mole of atoms

# Sr4Sm3DyTe8

A relaxed Sr4Sm3DyTe8 crystal (PBE, the Alexandria database).

Lattice parameters (Å, degrees): 9.2190 9.2190 9.2190 58.72 58.72 58.72
Sites, in units of the cell vectors:
Sr 0.0000 0.0000 0.0000
Sr 0.0000 0.5000 0.5000
Sr 0.5000 0.0000 0.5000
Sr 0.5000 0.5000 0.0000
Sm 0.0000 0.0000 0.5000
Sm 0.0000 0.5000 0.0000
Sm 0.5000 0.0000 0.0000
Dy 0.5000 0.5000 0.5000
Te 0.2459 0.2459 0.2459
Te 0.2488 0.7430 0.7430
Te 0.2570 0.2570 0.7512
Te 0.2570 0.7512 0.2570
Te 0.7430 0.2488 0.7430
Te 0.7430 0.7430 0.2488
Te 0.7512 0.2570 0.2570
Te 0.7541 0.7541 0.7541

Values from the calculation:
E_form (uncorrected) = -147.10 kJ per mole of atoms

# Sr3Sm2DyTe6

A relaxed Sr3Sm2DyTe6 crystal (PBE, the Alexandria database).

Lattice parameters (Å, degrees): 7.8235 7.8235 8.0236 99.38 99.38 119.93
Sites, in units of the cell vectors:
Sr 0.0000 0.0000 0.0000
Sr 0.3313 0.6687 0.0000
Sr 0.6687 0.3313 0.0000
Sm 0.1657 0.8343 0.5000
Sm 0.8343 0.1657 0.5000
Dy 0.5000 0.5000 0.5000
Te 0.0936 0.4223 0.2656
Te 0.2508 0.2508 0.7364
Te 0.4223 0.0936 0.2656
Te 0.5777 0.9064 0.7344
Te 0.7492 0.7492 0.2636
Te 0.9064 0.5777 0.7344

Values from the calculation:
E_form (uncorrected) = -146.70 kJ per mole of atoms

# SrSm2Dy3Te6

A relaxed SrSm2Dy3Te6 crystal (PBE, the Alexandria database).

Lattice parameters (Å, degrees): 9.9507 9.9507 8.9244 103.66 103.66 25.72
Sites, in units of the cell vectors:
Sr 0.0000 0.0000 0.0000
Sm 0.3273 0.3273 0.6534
Sm 0.6727 0.6727 0.3466
Dy 0.0000 0.0000 0.5000
Dy 0.3348 0.3348 0.1785
Dy 0.6652 0.6652 0.8215
Te 0.1624 0.1624 0.5862
Te 0.1716 0.1716 0.0793
Te 0.4988 0.4988 0.7385
Te 0.5012 0.5012 0.2615
Te 0.8284 0.8284 0.9207
Te 0.8376 0.8376 0.4138

Values from the calculation:
E_form (uncorrected) = -133.27 kJ per mole of atoms

# Sr3SmDy3Te8

A relaxed Sr3SmDy3Te8 crystal (PBE, the Alexandria database).

Lattice parameters (Å, degrees): 9.1852 9.1852 9.1852 57.95 57.95 57.95
Sites, in units of the cell vectors:
Sr 0.0000 0.5000 0.5000
Sr 0.5000 0.0000 0.5000
Sr 0.5000 0.5000 0.0000
Sm 0.5000 0.5000 0.5000
Dy 0.0000 0.0000 0.5000
Dy 0.0000 0.5000 0.0000
Dy 0.5000 0.0000 0.0000
Te 0.2353 0.7495 0.7495
Te 0.2435 0.2435 0.2435
Te 0.2505 0.2505 0.7647
Te 0.2505 0.7647 0.2505
Te 0.7495 0.2353 0.7495
Te 0.7495 0.7495 0.2353
Te 0.7565 0.7565 0.7565
Te 0.7647 0.2505 0.2505

Values from the calculation:
E_form (uncorrected) = -146.52 kJ per mole of atoms

# SrSm3Dy2Te6

A relaxed SrSm3Dy2Te6 crystal (PBE, the Alexandria database).

Lattice parameters (Å, degrees): 9.9698 9.9698 8.9570 103.53 103.53 25.75
Sites, in units of the cell vectors:
Sr 0.0000 0.0000 0.0000
Sm 0.0000 0.0000 0.5000
Sm 0.3384 0.3384 0.1827
Sm 0.6616 0.6616 0.8173
Dy 0.3300 0.3300 0.6589
Dy 0.6700 0.6700 0.3411
Te 0.1670 0.1670 0.5756
Te 0.1716 0.1716 0.0874
Te 0.4945 0.4945 0.7417
Te 0.5055 0.5055 0.2583
Te 0.8284 0.8284 0.9126
Te 0.8330 0.8330 0.4244

Values from the calculation:
E_form (uncorrected) = -134.03 kJ per mole of atoms

| no. | density of states at the Fermi level (states/eV per cell) | E_tot (eV per cell) |
| --- | --- | --- |
| 1 | 4.21 | -10.65 |
| 2 | 4.35 | -10.59 |
| 3 | 6.81 | -14.98 |
| 4 | 5.67 | -15.32 |
| 5 | 5.36 | -15.29 |
| 6 | 5.90 | -14.72 |
| 7 | 5.18 | -55.88 |
| 8 | 6.31 | -75.01 |
| 9 | 5.23 | -56.18 |
| 10 | 5.60 | -60.35 |
| 11 | 5.14 | -71.48 |
| 12 | 5.74 | -60.56 |